Compound: VNiO2F
Source: Alexandria
Functional: GGA+U
Structure: relaxed

```
data_VNiO2F
_chemical_formula_sum 'V1 Ni1 O2 F1'
_cell_length_a 3.8191
_cell_length_b 3.8191
_cell_length_c 3.7263
_cell_angle_alpha 90.00
_cell_angle_beta 90.00
_cell_angle_gamma 90.00
_symmetry_space_group_name_H-M 'P 4/m m m'
_symmetry_Int_Tables_number 123
_symmetry_space_group_name_Hall '-P 4 2'
loop_
_atom_site_label
_atom_site_type_symbol
_atom_site_fract_x
_atom_site_fract_y
_atom_site_fract_z
V1 V 0.0000 0.0000 0.0000
Ni1 Ni 0.5000 0.5000 0.5000
O1 O 0.0000 0.5000 0.5000
F1 F 0.5000 0.5000 0.0000
```

Output
crystal system: tetragonal
DFT total energy: -5.2982 eV per atom